[1]
Compound: SiAuO2
Source: the Alexandria database
Functional: GGA-PBEsol
Structure: relaxed

abc: 2.6875 2.6875 27.0102
angles: 90.00 90.00 120.00
Space group R-3m (No. 166, hexagonal axes)
One atom of each set of equivalent atoms:
Si 0.0000 0.0000 0.0000 x3
Au 0.0000 0.0000 0.5000 x3
O 0.0000 0.0000 0.3670 x6

Results
Density of states at the Fermi level   1.7 states/eV per cell

=====

[2]
Compound: AgSbPbS3
Source: the Alexandria database
Functional: GGA-PBEsol
Structure: relaxed

abc: 5.6400 12.0114 7.9791
angles: 90.00 90.19 90.00
Space group P2_1/c (No. 14)
One atom of each set of equivalent atoms:
Ag 0.2330 0.0766 0.1298 x4
Sb 0.2553 0.7443 0.1272 x4
Pb 0.2575 0.0806 0.6564 x4
S 0.2406 0.5940 0.8966 x4
S 0.2456 0.5894 0.4337 x4
S 0.2842 0.2193 0.3574 x4

Results
Excess energy over the best structure of this formula in the dataset   0.00 eV per formula unit
Density of states at the Fermi level   0.0 states/eV per cell

=====

Which energy relative to the elements, uncorrected belongs to each record? In order, -1.820 -0.274 eV per atom.